Entry 1:
A geometry-optimized Tl2Ni2Hg structure, computed with PBE.

Structure (extended XYZ):
```
5
Lattice="-2.207 2.207 5.470 2.207 -2.207 5.470 2.207 2.207 -5.470" Properties=species:S:1:pos:R:3 pbc="T T T"
Tl 2.207 0.000 2.735
Tl 0.000 2.207 2.735
Ni 0.000 0.000 1.150
Ni 0.000 0.000 9.790
Hg 0.000 0.000 5.470
```

volume: 21.31 A^3/atom
ΔH_f (0 K): 0.47 eV/atom
VASP energy: -2.85 eV/atom

=====

Entry 2:
A geometry-optimized Sb8OsRh2 structure, computed with PBE.

Structure (extended XYZ):
```
11
Lattice="5.221 0.000 0.000 0.174 7.747 0.000 0.193 2.681 7.312" Properties=species:S:1:pos:R:3 pbc="T T T"
Sb 1.137 3.682 2.141
Sb 1.326 8.473 6.346
Sb 1.320 4.809 6.095
Sb 1.585 8.133 3.134
Sb 4.002 2.294 4.178
Sb 4.268 5.618 1.217
Sb 4.261 1.954 0.966
Sb 4.451 6.745 5.172
Os 2.697 3.873 0.000
Rh 1.465 2.706 4.594
Rh 4.123 7.721 2.719
```

ΔE_f (raw): -0.01 eV/atom
volume: 26.88 A^3/atom
VASP energy: -5.36 eV/atom